Record 1
Compound: SmHoTe2S
Source: Alexandria via LeMat-Bulk
Functional: GGA-PBE
Structure: optimized geometry

Raw total energy in eV/atom: -5.4166
Formation energy without anion corrections in meV/atom: -1475
SG: P4/nmm, No. 129
Crystal system: tetragonal

abc: 4.422 4.422 15.664
angles: 90.00 90.00 90.00
Positions (direct):
Te (0.000, 0.500, 0.703)
Te (0.500, 0.000, 0.908)
Te (0.000, 0.500, 0.092)
Te (0.500, 0.000, 0.297)
Ho (0.000, 0.500, 0.888)
Ho (0.500, 0.000, 0.112)
Sm (0.500, 0.000, 0.604)
Sm (0.000, 0.500, 0.396)
S (0.000, 0.000, 0.500)
S (0.500, 0.500, 0.500)

Record 2
Compound: Sm3Ho2ThS6
Source: Alexandria via LeMat-Bulk
Functional: GGA-PBE
Structure: optimized geometry

Raw total energy in eV/atom: -6.5931
Formation energy without anion corrections in meV/atom: -1968
SG: C2/m, No. 12
Crystal system: monoclinic

abc: 3.967 7.978 8.875
angles: 102.69 102.92 90.00
Positions (direct):
S (0.670, 0.577, 0.340)
S (0.996, 0.744, 0.992)
S (0.330, 0.907, 0.661)
S (0.330, 0.423, 0.660)
S (0.670, 0.093, 0.339)
S (0.004, 0.256, 0.008)
Sm (0.163, 0.834, 0.326)
Sm (0.837, 0.166, 0.674)
Sm (0.500, 0.500, 0.000)
Th (0.500, 0.000, 0.000)
Ho (0.166, 0.331, 0.331)
Ho (0.834, 0.669, 0.669)

Record 3
Compound: Sm2HoTh3S6
Source: Alexandria via LeMat-Bulk
Functional: GGA-PBE
Structure: optimized geometry

Raw total energy in eV/atom: -6.9948
Formation energy without anion corrections in meV/atom: -1908
SG: C2/m, No. 12
Crystal system: monoclinic

abc: 6.847 6.847 7.054
angles: 99.27 99.27 119.57
Positions (direct):
S (0.406, 0.079, 0.238)
S (0.079, 0.406, 0.238)
S (0.755, 0.755, 0.243)
S (0.921, 0.594, 0.762)
S (0.594, 0.921, 0.762)
S (0.245, 0.245, 0.757)
Sm (0.666, 0.334, 0.000)
Sm (0.334, 0.666, 0.000)
Th (0.500, 0.500, 0.500)
Th (0.170, 0.830, 0.500)
Th (0.830, 0.170, 0.500)
Ho (0.000, 0.000, 0.000)

Question: raw total energy of number 3 (Sm2HoTh3S6)?
Answer: -6.9948 eV/atom

Question: raw total energy of number 2 (Sm3Ho2ThS6)?
Answer: -6.5931 eV/atom

Question: Among the records above, which one has the lowest formation energy without anion corrections?
Answer: Sm3Ho2ThS6

Question: The lowest formation energy without anion corrections belongs to which entry?
Answer: Sm3Ho2ThS6